(1)
CrIrRhAu2: optimized geometry, GGA-PBE.

Cell lengths 4.7920, 4.7920, 4.3637 Å; angles 90.00, 90.00, 90.00 degrees
Atoms (fractional coordinates):
Cr  0.0000  0.0000  0.0000
Ir  0.0000  0.0000  0.5000
Rh  0.5000  0.5000  0.5000
Au  0.0000  0.5000  0.0000
Au  0.5000  0.0000  0.0000

Symmetry   P4/mmm (123)
Total magnetization   2.94 μB per formula unit
Total energy   -5.1218 eV/atom
Calculated formation energy   6.78 eV/f.u.

---

(2)
VCr2IrAu: optimized geometry, GGA-PBE.

Cell lengths 4.1630, 4.1630, 4.7859 Å; angles 90.00, 90.00, 90.00 degrees
Atoms (fractional coordinates):
V  0.0000  0.0000  0.0000
Cr  0.0000  0.5000  0.0000
Cr  0.5000  0.0000  0.0000
Ir  0.5000  0.5000  0.5000
Au  0.0000  0.0000  0.5000

Symmetry   P4/mmm (123)
Total magnetization   3.12 μB per formula unit
Total energy   -6.7561 eV/atom
Calculated formation energy   6.72 eV/f.u.

---

(3)
CrIr2WAu: optimized geometry, GGA-PBE.

Cell lengths 4.7133, 4.7133, 4.9975 Å; angles 90.00, 90.00, 90.00 degrees
Atoms (fractional coordinates):
Cr  0.0000  0.0000  0.0000
Ir  0.0000  0.5000  0.5000
Ir  0.5000  0.0000  0.5000
W  0.5000  0.5000  0.5000
Au  0.5000  0.5000  0.0000

Symmetry   P4/mmm (123)
Total magnetization   0.26 μB per formula unit
Total energy   -6.7352 eV/atom
Calculated formation energy   9.90 eV/f.u.

---

(4)
YCrIr2Au: optimized geometry, GGA-PBE.

Cell lengths 4.5156, 4.5156, 4.9169 Å; angles 90.00, 90.00, 90.00 degrees
Atoms (fractional coordinates):
Y  0.0000  0.0000  0.0000
Cr  0.5000  0.5000  0.5000
Ir  0.0000  0.5000  0.5000
Ir  0.5000  0.0000  0.5000
Au  0.5000  0.5000  0.0000

Symmetry   P4/mmm (123)
Total magnetization   0.68 μB per formula unit
Total energy   -7.1309 eV/atom
Calculated formation energy   1.43 eV/f.u.

---

(5)
KCr2Au: optimized geometry, GGA-PBE.

Cell lengths 3.3500, 3.3881, 8.6757 Å; angles 90.00, 90.00, 90.00 degrees
Atoms (fractional coordinates):
K  0.0000  0.0000  0.0000
Cr  0.5000  0.5000  0.3288
Cr  0.5000  0.5000  0.6712
Au  0.0000  0.0000  0.5000

Energy above the most stable polymorph in this dataset   303 meV/atom
Symmetry   Pmmm (47)
Total magnetization   9.20 μB per formula unit
Total energy   -5.1774 eV/atom
Calculated formation energy   2.91 eV/f.u.

---

(6)
KCr2Au: optimized geometry, GGA-PBE.

Cell lengths 3.3363, 5.1040, 5.2726 Å; angles 90.00, 90.00, 90.00 degrees
Atoms (fractional coordinates):
K  0.0000  0.0000  0.0000
Cr  0.0000  0.5000  0.5000
Cr  0.5000  0.5000  0.0000
Au  0.5000  0.0000  0.5000

Energy above the most stable polymorph in this dataset   524 meV/atom
Symmetry   Pmmm (47)
Total magnetization   9.13 μB per formula unit
Total energy   -4.9565 eV/atom
Calculated formation energy   3.80 eV/f.u.

---

(7)
K2CrAu: optimized geometry, GGA-PBE.

Cell lengths 4.0199, 4.0384, 8.4355 Å; angles 90.00, 90.00, 90.00 degrees
Atoms (fractional coordinates):
K  0.0000  0.0000  0.2241
K  0.0000  0.0000  0.7759
Cr  0.5000  0.5000  0.5000
Au  0.5000  0.5000  0.0000

Energy above the most stable polymorph in this dataset   212 meV/atom
Symmetry   Pmmm (47)
Total magnetization   5.19 μB per formula unit
Total energy   -3.2967 eV/atom
Calculated formation energy   1.91 eV/f.u.

---

(8)
KCr2Au: optimized geometry, GGA-PBE.

Cell lengths 4.5183, 4.5183, 4.3852 Å; angles 90.00, 90.00, 90.00 degrees
Atoms (fractional coordinates):
K  0.0000  0.0000  0.0000
Cr  0.0000  0.5000  0.5000
Cr  0.5000  0.0000  0.5000
Au  0.5000  0.5000  0.0000

Energy above the most stable polymorph in this dataset   498 meV/atom
Symmetry   P4/mmm (123)
Total magnetization   9.50 μB per formula unit
Total energy   -4.9827 eV/atom
Calculated formation energy   3.69 eV/f.u.

---

(9)
KCr2Au: optimized geometry, GGA-PBE.

Cell lengths 9.9398, 9.9398, 9.9398 Å; angles 147.88, 147.88, 46.07 degrees
Atoms (fractional coordinates):
K  0.3750  0.6250  0.7500
K  0.6250  0.3750  0.2500
Cr  0.0000  0.0000  0.0000
Cr  0.0000  0.0000  0.5000
Cr  0.0000  0.5000  0.0000
Cr  0.5000  0.0000  0.5000
Au  0.1250  0.8750  0.2500
Au  0.8750  0.1250  0.7500

Energy above the most stable polymorph in this dataset   500 meV/atom
Symmetry   I4_1/amd (141)
Total magnetization   9.45 μB per formula unit
Total energy   -4.9804 eV/atom
Calculated formation energy   3.70 eV/f.u.

---

(10)
KCr3Au: optimized geometry, GGA-PBE.

Cell lengths 5.2354, 5.2354, 5.2354 Å; angles 90.00, 90.00, 90.00 degrees
Atoms (fractional coordinates):
K  0.0000  0.0000  0.0000
Cr  0.0000  0.5000  0.5000
Cr  0.5000  0.0000  0.5000
Cr  0.5000  0.5000  0.0000
Au  0.5000  0.5000  0.5000

Energy above the most stable polymorph in this dataset   0 meV/atom
Symmetry   Pm-3m (221)
Total magnetization   13.86 μB per formula unit
Total energy   -5.5508 eV/atom
Calculated formation energy   5.49 eV/f.u.

---

(11)
K2CrAu: optimized geometry, GGA-PBE.

Cell lengths 5.7376, 5.7376, 5.7376 Å; angles 60.00, 60.00, 60.00 degrees
Atoms (fractional coordinates):
K  0.2500  0.2500  0.2500
K  0.7500  0.7500  0.7500
Cr  0.0000  0.0000  0.0000
Au  0.5000  0.5000  0.5000

Energy above the most stable polymorph in this dataset   249 meV/atom
Symmetry   Fm-3m (225)
Total magnetization   5.15 μB per formula unit
Total energy   -3.2591 eV/atom
Calculated formation energy   2.06 eV/f.u.

---

(12)
KCr2Au: optimized geometry, GGA-PBE.

Cell lengths 5.2810, 5.2810, 5.2810 Å; angles 127.98, 127.98, 76.66 degrees
Atoms (fractional coordinates):
K  0.0000  0.0000  0.0000
Cr  0.2500  0.7500  0.5000
Cr  0.7500  0.2500  0.5000
Au  0.5000  0.5000  0.0000

Energy above the most stable polymorph in this dataset   483 meV/atom
Symmetry   I4/mmm (139)
Total magnetization   9.55 μB per formula unit
Total energy   -4.9977 eV/atom
Calculated formation energy   3.63 eV/f.u.

---

(13)
K2CrAu: optimized geometry, GGA-PBE.

Cell lengths 5.4018, 5.4018, 4.5230 Å; angles 90.00, 90.00, 90.00 degrees
Atoms (fractional coordinates):
K  0.0000  0.5000  0.0000
K  0.5000  0.0000  0.0000
Cr  0.0000  0.0000  0.5000
Au  0.5000  0.5000  0.5000

Energy above the most stable polymorph in this dataset   243 meV/atom
Symmetry   P4/mmm (123)
Total magnetization   5.16 μB per formula unit
Total energy   -3.2655 eV/atom
Calculated formation energy   2.03 eV/f.u.

---

(14)
K2CrAu: optimized geometry, GGA-PBE.

Cell lengths 4.6570, 4.6570, 8.9682 Å; angles 104.60, 104.60, 59.97 degrees
Atoms (fractional coordinates):
K  0.0000  0.0000  0.0000
K  0.1748  0.1748  0.5415
Cr  0.7541  0.7541  0.2708
Au  0.4207  0.4207  0.2703

Energy above the most stable polymorph in this dataset   0 meV/atom
Symmetry   Cm (8)
Total magnetization   4.59 μB per formula unit
Total energy   -3.5086 eV/atom
Calculated formation energy   1.06 eV/f.u.

---

(15)
KCr2Au: optimized geometry, GGA-PBE.

Cell lengths 6.0761, 6.0761, 6.0761 Å; angles 150.97, 125.49, 62.94 degrees
Atoms (fractional coordinates):
K  0.0000  0.0000  0.0000
Cr  0.5102  0.5102  0.0000
Cr  0.6967  0.1967  0.5000
Au  0.2882  0.7882  0.5000

Energy above the most stable polymorph in this dataset   285 meV/atom
Symmetry   Imm2 (44)
Total magnetization   0.09 μB per formula unit
Total energy   -5.1959 eV/atom
Calculated formation energy   2.84 eV/f.u.

---

(16)
K2CrAu: optimized geometry, GGA-PBE.

Cell lengths 8.8040, 8.8040, 8.8040 Å; angles 95.17, 95.17, 145.08 degrees
Atoms (fractional coordinates):
K  0.3750  0.2197  0.3447
K  0.7803  0.1250  0.1553
K  0.8750  0.0303  0.6553
K  0.9697  0.6250  0.8447
Cr  0.2500  0.7500  0.5000
Cr  0.5000  0.5000  0.0000
Au  0.0000  0.0000  0.0000
Au  0.7500  0.2500  0.5000

Energy above the most stable polymorph in this dataset   144 meV/atom
Symmetry   I-42d (122)
Total magnetization   5.00 μB per formula unit
Total energy   -3.3650 eV/atom
Calculated formation energy   1.64 eV/f.u.

---

(17)
KCr2Au: optimized geometry, GGA-PBE.

Cell lengths 3.1645, 3.1645, 8.3130 Å; angles 90.00, 90.00, 90.00 degrees
Atoms (fractional coordinates):
K  0.0000  0.0000  0.0000
Cr  0.0000  0.0000  0.5196
Cr  0.5000  0.5000  0.6566
Au  0.5000  0.5000  0.3079

Energy above the most stable polymorph in this dataset   0 meV/atom
Symmetry   P4mm (99)
Total magnetization   0.42 μB per formula unit
Total energy   -5.4806 eV/atom
Calculated formation energy   1.70 eV/f.u.

---

(18)
KCrAu3: optimized geometry, GGA-PBE.

Cell lengths 5.5219, 5.5219, 5.5219 Å; angles 90.00, 90.00, 90.00 degrees
Atoms (fractional coordinates):
K  0.0000  0.0000  0.0000
Cr  0.5000  0.5000  0.5000
Au  0.0000  0.0000  0.5000
Au  0.0000  0.5000  0.0000
Au  0.5000  0.0000  0.0000

Energy above the most stable polymorph in this dataset   922 meV/atom
Symmetry   Pm-3m (221)
Total magnetization   4.07 μB per formula unit
Total energy   -2.7215 eV/atom
Calculated formation energy   6.95 eV/f.u.

---

(19)
KCr3Au: optimized geometry, GGA-PBE.

Cell lengths 4.2123, 4.2123, 4.2123 Å; angles 90.00, 90.00, 90.00 degrees
Atoms (fractional coordinates):
K  0.0000  0.0000  0.0000
Cr  0.0000  0.0000  0.5000
Cr  0.0000  0.5000  0.0000
Cr  0.5000  0.0000  0.0000
Au  0.5000  0.5000  0.5000

Energy above the most stable polymorph in this dataset   1593 meV/atom
Symmetry   Pm-3m (221)
Total magnetization   0.00 μB per formula unit
Total energy   -3.9579 eV/atom
Calculated formation energy   13.46 eV/f.u.

---

(20)
KCr2Au: optimized geometry, GGA-PBE.

Cell lengths 10.3661, 10.3661, 10.3661 Å; angles 18.35, 18.35, 18.35 degrees
Atoms (fractional coordinates):
K  0.0000  0.0000  0.0000
Cr  0.2323  0.2323  0.2323
Cr  0.7677  0.7677  0.7677
Au  0.5000  0.5000  0.5000

Energy above the most stable polymorph in this dataset   484 meV/atom
Symmetry   R-3m (166)
Total magnetization   8.94 μB per formula unit
Total energy   -4.9971 eV/atom
Calculated formation energy   3.63 eV/f.u.

---

(21)
K2CrAu: optimized geometry, GGA-PBE.

Cell lengths 3.6627, 3.9200, 9.9815 Å; angles 90.00, 90.00, 90.00 degrees
Atoms (fractional coordinates):
K  0.0000  0.0000  0.0000
K  0.5000  0.5000  0.4061
Cr  0.5000  0.5000  0.7292
Au  0.0000  0.0000  0.6659

Energy above the most stable polymorph in this dataset   39 meV/atom
Symmetry   Pmm2 (25)
Total magnetization   4.68 μB per formula unit
Total energy   -3.4699 eV/atom
Calculated formation energy   1.22 eV/f.u.

---

(22)
K2CrAu4: optimized geometry, GGA-PBE.

Cell lengths 9.0346, 9.0346, 9.0346 Å; angles 146.64, 146.64, 47.90 degrees
Atoms (fractional coordinates):
K  0.1374  0.1374  0.0000
K  0.8626  0.8626  0.0000
Cr  0.5000  0.5000  0.0000
Au  0.0000  0.5000  0.5000
Au  0.3453  0.3453  0.0000
Au  0.5000  0.0000  0.5000
Au  0.6547  0.6547  0.0000

Symmetry   I4/mmm (139)
Total magnetization   4.00 μB per formula unit
Total energy   -3.4727 eV/atom
Calculated formation energy   0.62 eV/f.u.

---

(23)
KCr2Au: optimized geometry, GGA-PBE.

Cell lengths 4.9746, 4.9746, 4.9746 Å; angles 60.00, 60.00, 60.00 degrees
Atoms (fractional coordinates):
K  0.0000  0.0000  0.0000
Cr  0.2500  0.2500  0.2500
Cr  0.7500  0.7500  0.7500
Au  0.5000  0.5000  0.5000

Energy above the most stable polymorph in this dataset   485 meV/atom
Symmetry   Fm-3m (225)
Total magnetization   9.27 μB per formula unit
Total energy   -4.9960 eV/atom
Calculated formation energy   3.64 eV/f.u.

---

(24)
K2CrAu: optimized geometry, GGA-PBE.

Cell lengths 5.1148, 4.7178, 6.6410 Å; angles 90.00, 112.58, 90.00 degrees
Atoms (fractional coordinates):
K  0.0000  0.0000  0.0000
K  0.2973  0.5000  0.5950
Cr  0.6033  0.5000  0.2065
Au  0.7026  0.0000  0.4046

Energy above the most stable polymorph in this dataset   71 meV/atom
Symmetry   Pm (6)
Total magnetization   4.99 μB per formula unit
Total energy   -3.4374 eV/atom
Calculated formation energy   1.35 eV/f.u.

---

(25)
K2CrAu: optimized geometry, GGA-PBE.

Cell lengths 9.7042, 9.7042, 9.7042 Å; angles 26.73, 26.73, 26.73 degrees
Atoms (fractional coordinates):
K  0.2403  0.2403  0.2403
K  0.7597  0.7597  0.7597
Cr  0.0000  0.0000  0.0000
Au  0.5000  0.5000  0.5000

Energy above the most stable polymorph in this dataset   317 meV/atom
Symmetry   R-3m (166)
Total magnetization   5.23 μB per formula unit
Total energy   -3.1916 eV/atom
Calculated formation energy   2.33 eV/f.u.

---

(26)
K2CrAu: optimized geometry, GGA-PBE.

Cell lengths 4.6518, 4.6518, 9.6625 Å; angles 95.19, 95.19, 43.61 degrees
Atoms (fractional coordinates):
K  0.2399  0.2399  0.2212
K  0.7601  0.7601  0.7788
Cr  0.0000  0.0000  0.5000
Au  0.5000  0.5000  0.0000

Energy above the most stable polymorph in this dataset   303 meV/atom
Symmetry   C2/m (12)
Total magnetization   5.27 μB per formula unit
Total energy   -3.2053 eV/atom
Calculated formation energy   2.27 eV/f.u.

---

(27)
K2CrAu: optimized geometry, GGA-PBE.

Cell lengths 5.3609, 5.3609, 4.5876 Å; angles 90.07, 90.07, 107.32 degrees
Atoms (fractional coordinates):
K  0.0000  0.5000  0.0000
K  0.5000  0.0000  0.0000
Cr  0.0000  0.0000  0.5000
Au  0.5000  0.5000  0.5000

Energy above the most stable polymorph in this dataset   232 meV/atom
Symmetry   C2/m (12)
Total magnetization   5.01 μB per formula unit
Total energy   -3.2763 eV/atom
Calculated formation energy   1.99 eV/f.u.

---

(28)
K2CrAu: optimized geometry, GGA-PBE.

Cell lengths 5.4833, 5.4833, 5.4833 Å; angles 60.00, 60.00, 60.00 degrees
Atoms (fractional coordinates):
K  0.0000  0.0000  0.0000
K  0.2500  0.2500  0.2500
Cr  0.5000  0.5000  0.5000
Au  0.7500  0.7500  0.7500

Energy above the most stable polymorph in this dataset   198 meV/atom
Symmetry   F-43m (216)
Total magnetization   5.03 μB per formula unit
Total energy   -3.3108 eV/atom
Calculated formation energy   1.85 eV/f.u.

---

(29)
KCr2Au: optimized geometry, GGA-PBE.

Cell lengths 4.7592, 4.7592, 7.2387 Å; angles 96.61, 96.61, 39.69 degrees
Atoms (fractional coordinates):
K  0.0000  0.0000  0.0000
Cr  0.2292  0.2292  0.6588
Cr  0.7708  0.7708  0.3412
Au  0.5000  0.5000  0.5000

Energy above the most stable polymorph in this dataset   378 meV/atom
Symmetry   C2/m (12)
Total magnetization   9.20 μB per formula unit
Total energy   -5.1026 eV/atom
Calculated formation energy   3.21 eV/f.u.

---

(30)
KCr2Au: optimized geometry, GGA-PBE.

Cell lengths 6.3235, 6.3235, 6.3235 Å; angles 156.36, 132.23, 53.97 degrees
Atoms (fractional coordinates):
K  0.0000  0.0000  0.0000
Cr  0.2841  0.7841  0.5000
Cr  0.7159  0.2159  0.5000
Au  0.5000  0.5000  0.0000

Energy above the most stable polymorph in this dataset   705 meV/atom
Symmetry   Immm (71)
Total magnetization   0.01 μB per formula unit
Total energy   -4.7759 eV/atom
Calculated formation energy   4.52 eV/f.u.